Entry 1:
{"formula": "AcErAu", "functional": "PBE-GGA", "state": "optimized geometry", "space_group": "I4mm", "magnetic_moment_mub_per_cell": 0.0, "rho_g_cm3": 10.71, "e_form_ev_per_atom": -0.5090, "polymorph_energy_mev_per_atom": 89, "cell": [[3.742, 0.000, 0.000], [0.000, 3.742, 0.000], [-1.871, -1.871, 6.546]], "species": ["Er", "Ac", "Au"], "fractional_positions": [[0.294, 0.294, 0.589], [0.014, 0.014, 0.028], [0.692, 0.692, 0.383]]}



Entry 2:
{"formula": "Ac2ErGa3Au4", "functional": "PBE-GGA", "state": "optimized geometry", "space_group": "P-4m2", "magnetic_moment_mub_per_cell": 0.0, "rho_g_cm3": 11.29, "e_form_ev_per_atom": -0.6994, "cell": [[-3.478, 2.480, 1.540], [0.380, -1.990, 4.063], [7.362, 8.243, 3.350]], "species": ["Au", "Ga", "Er", "Ac", "Au", "Au", "Ga", "Ga", "Au", "Ac"], "fractional_positions": [[0.000, 0.500, 0.347], [0.500, 0.000, 0.878], [0.500, 0.500, 0.500], [0.500, 0.000, 0.226], [0.500, 0.000, 0.653], [0.500, 0.500, 0.000], [0.000, 0.000, 0.500], [0.000, 0.500, 0.122], [0.000, 0.000, 0.000], [0.000, 0.500, 0.774]]}



Entry 3:
{"formula": "AcErGaAu", "functional": "PBE-GGA", "state": "optimized geometry", "space_group": "F-43m", "magnetic_moment_mub_per_cell": 0.0, "rho_g_cm3": 10.24, "e_form_ev_per_atom": -0.5851, "cell": [[-5.074, 0.050, -1.639], [-3.855, -1.817, 3.205], [-3.475, 3.403, 2.186]], "species": ["Ac", "Au", "Ga", "Er"], "fractional_positions": [[0.500, 0.500, 0.500], [0.750, 0.750, 0.750], [0.250, 0.250, 0.250], [0.000, 0.000, 0.000]]}



Entry 4:
{"formula": "Ac2ErGa4Au3", "functional": "PBE-GGA", "state": "optimized geometry", "space_group": "P-4m2", "magnetic_moment_mub_per_cell": 0.0, "rho_g_cm3": 10.47, "e_form_ev_per_atom": -0.6542, "cell": [[4.476, 0.000, 0.000], [0.000, 4.476, 0.000], [0.000, 0.000, 11.803]], "species": ["Ga", "Er", "Ga", "Au", "Au", "Ga", "Ga", "Ac", "Ac", "Au"], "fractional_positions": [[0.000, 0.500, 0.344], [0.500, 0.500, 0.500], [0.500, 0.500, 0.000], [0.000, 0.000, 0.500], [0.500, 0.000, 0.876], [0.000, 0.000, 0.000], [0.500, 0.000, 0.656], [0.000, 0.500, 0.765], [0.500, 0.000, 0.235], [0.000, 0.500, 0.124]]}



Entry 5:
{"formula": "AcErGa2Au5", "functional": "PBE-GGA", "state": "optimized geometry", "space_group": "P4/mmm", "magnetic_moment_mub_per_cell": 0.0, "rho_g_cm3": 12.50, "e_form_ev_per_atom": -0.5106, "cell": [[-0.411, 4.569, -1.768], [-3.911, -1.374, -2.643], [-5.010, 2.013, 6.367]], "species": ["Ga", "Au", "Au", "Er", "Au", "Ac", "Ga", "Au", "Au"], "fractional_positions": [[0.500, 0.500, 0.153], [0.500, 0.000, 0.236], [0.000, 0.500, 0.764], [0.000, 0.000, 0.000], [0.500, 0.500, 0.500], [0.000, 0.000, 0.500], [0.500, 0.500, 0.847], [0.500, 0.000, 0.764], [0.000, 0.500, 0.236]]}



Entry 6:
{"formula": "AcErGa2Au4", "functional": "PBE-GGA", "state": "optimized geometry", "space_group": "R-3m", "magnetic_moment_mub_per_cell": 0.0, "rho_g_cm3": 12.27, "e_form_ev_per_atom": -0.6464, "cell": [[4.680, 0.000, 0.000], [2.340, 4.053, 0.000], [2.340, 1.351, 9.433]], "species": ["Au", "Au", "Ga", "Er", "Au", "Ac", "Au", "Ga"], "fractional_positions": [[0.395, 0.395, 0.815], [0.879, 0.879, 0.363], [0.235, 0.235, 0.295], [0.500, 0.500, 0.500], [0.605, 0.605, 0.185], [0.000, 0.000, 0.000], [0.121, 0.121, 0.637], [0.765, 0.765, 0.705]]}



Entry 7:
{"formula": "Ac2ErGe4Au3", "functional": "PBE-GGA", "state": "optimized geometry", "space_group": "P-4m2", "magnetic_moment_mub_per_cell": 0.0, "rho_g_cm3": 10.54, "e_form_ev_per_atom": -0.6771, "cell": [[-1.094, 4.137, 1.624], [-1.955, -1.950, 3.651], [9.856, 0.441, 5.513]], "species": ["Au", "Ge", "Ac", "Ge", "Ge", "Au", "Au", "Ge", "Er", "Ac"], "fractional_positions": [[0.000, 0.000, 0.500], [0.500, 0.000, 0.648], [0.500, 0.000, 0.232], [0.000, 0.500, 0.352], [0.000, 0.000, 0.000], [0.000, 0.500, 0.121], [0.500, 0.000, 0.879], [0.500, 0.500, 0.000], [0.500, 0.500, 0.500], [0.000, 0.500, 0.768]]}



Entry 8:
{"formula": "Ac2ErGe3Au4", "functional": "PBE-GGA", "state": "optimized geometry", "space_group": "P-4m2", "magnetic_moment_mub_per_cell": 0.0, "rho_g_cm3": 11.30, "e_form_ev_per_atom": -0.6657, "cell": [[-1.175, -3.861, -1.987], [-1.597, -1.529, 3.917], [-10.603, 4.541, -2.551]], "species": ["Au", "Ge", "Au", "Au", "Ac", "Ge", "Ge", "Ac", "Er", "Au"], "fractional_positions": [[0.500, 0.500, 0.000], [0.500, 0.000, 0.873], [0.000, 0.500, 0.347], [0.000, 0.000, 0.000], [0.000, 0.500, 0.779], [0.000, 0.500, 0.127], [0.000, 0.000, 0.500], [0.500, 0.000, 0.221], [0.500, 0.500, 0.500], [0.500, 0.000, 0.653]]}